{"formula": "NbFe2SbF", "functional": "PBE+U", "state": "relaxed", "cell": [[4.096, 0.000, 0.000], [0.000, 4.096, 0.000], [0.000, 0.000, 5.284]], "species": ["Fe", "Fe", "F", "Nb", "Sb"], "frac_coords": [[0.000, 0.500, 0.000], [0.500, 0.000, 0.000], [0.000, 0.000, 0.000], [0.500, 0.500, 0.500], [0.000, 0.000, 0.500]], "magmom_total_mub_per_fu": 6.30, "total_energy_ev_per_cell": -26.97}